Entry 1:
This record from Alexandria describes Li2Al2P2O9F after structural relaxation. The functional is GGA-PBE.

```
16
Lattice="-0.962 -1.784 4.733 -3.039 -3.284 -2.665 6.703 -1.585 -1.482" Properties=species:S:1:pos:R:3 pbc="T T T"
O -0.344 -1.621 0.901
Al 6.678 -1.607 -1.472
P -0.018 -2.780 1.864
O 1.459 -2.716 2.316
F -1.208 -3.568 -2.468
O -0.944 -2.806 3.102
O -0.276 -4.028 0.966
Li 3.089 -3.695 1.365
O 3.703 -3.918 -2.478
P 2.718 -3.874 -1.283
O 2.966 -5.033 -0.281
O 3.019 -2.613 -0.413
Al -0.619 -5.847 1.306
O 1.243 -3.878 -1.742
O 3.917 -3.102 3.042
Li -0.414 -2.923 -0.783
```

## Properties
Symmetry = P1 (1)
Crystal system = triclinic
Formation energy (no corrections) = -2.510 eV/atom



Entry 2:
This record from Alexandria describes CsTlInHg2 after structural relaxation. The functional is GGA-PBE.

```
5
Lattice="-4.814 -1.674 -0.302 1.570 -4.721 1.145 0.751 4.511 6.190" Properties=species:S:1:pos:R:3 pbc="T T T"
Hg -0.669 1.008 5.073
Tl 0.349 -1.704 3.878
In -2.843 -0.180 3.155
Hg -1.825 -2.892 1.960
Cs 0.000 0.000 0.000
```

## Properties
Symmetry = I-4m2 (119)
Crystal system = tetragonal
Energy relative to the elements = -0.1312 eV per atom



Number 1: VASP energy -108.792 eV per cell, V 10.4 Å³ per atom, size of the total moment 1.04 Bohr magnetons per cell. Number 2: VASP energy -7.218 eV per cell, V 35.4 Å³ per atom, size of the total moment 0.00 Bohr magnetons per cell.